The following is a PBE calculation of crystalline Cd2In4Sn at its relaxed geometry, from the Alexandria database.

Lattice parameters (Å, degrees): 8.1538 8.1538 5.6277 90.00 90.00 90.00
Last column: nearest neighbours and their distance in Å.
Space group I4/mmm (No. 139)
One atom of each set of equivalent atoms:
Cd  0.0000  0.5000  0.2500 [4 per cell]  2 Cd 2.81
In  0.1945  0.1945  0.0000 [8 per cell]  4 In 3.09-3.17, 4 Cd 3.27
Sn  0.0000  0.0000  0.5000 [2 per cell]  12 In 3.52-3.60

Calculated values
The value obtained for the formation energy is 75 meV per atom. Its total DFT energy (no corrections) is -2.323 eV/atom. For the calculated density, the calculation gives 7.1 Mg/m³.